1.
# PBE-GGA Tb4Y6Th, optimized geometry
data_Tb4Y6Th
_chemical_formula_sum 'Tb4 Y6 Th1'
_cell_length_a 7.625
_cell_length_b 7.625
_cell_length_c 8.493
_cell_angle_alpha 116.67
_cell_angle_beta 116.67
_cell_angle_gamma 90.00
_symmetry_space_group_name_H-M 'P 1'
_symmetry_Int_Tables_number 1
_symmetry_space_group_name_Hall 'P 1'
loop_
_atom_site_label
_atom_site_fract_x
_atom_site_fract_y
_atom_site_fract_z
Th1 0.500 0.500 0.000
Tb1 0.245 0.245 0.149
Y1 0.000 0.500 0.000
Y2 0.556 0.556 0.631
Tb2 0.904 0.904 0.149
Y3 0.075 0.075 0.631
Tb3 0.096 0.755 0.851
Y4 0.500 0.000 0.000
Y5 0.925 0.444 0.369
Tb4 0.755 0.096 0.851
Y6 0.444 0.925 0.369
# Density = 6.098 g cm⁻³
# Formation energy = 454.4 meV per atom
# Space group = I-42m (121)
# Offset from the most stable computed form = 0.3168 eV/atom
# Raw total energy = -5.43 eV per atom



2.
# PBE-GGA Sr2TlPb5, optimized geometry
data_Sr2TlPb5
_chemical_formula_sum 'Sr4 Tl2 Pb10'
_cell_length_a 4.921
_cell_length_b 7.189
_cell_length_c 14.422
_cell_angle_alpha 90.00
_cell_angle_beta 90.00
_cell_angle_gamma 90.00
_symmetry_space_group_name_H-M 'P 1'
_symmetry_Int_Tables_number 1
_symmetry_space_group_name_Hall 'P 1'
loop_
_atom_site_label
_atom_site_fract_x
_atom_site_fract_y
_atom_site_fract_z
Sr1 0.500 0.253 0.876
Sr2 0.500 0.247 0.376
Pb1 0.000 0.498 0.748
Sr3 0.500 0.753 0.624
Pb2 0.000 0.502 0.252
Pb3 0.500 0.748 0.374
Pb4 0.000 0.002 0.248
Tl1 0.000 0.500 0.000
Pb5 0.500 0.248 0.126
Pb6 0.000 0.000 0.000
Pb7 0.000 0.998 0.752
Pb8 0.500 0.752 0.874
Pb9 0.000 0.500 0.500
Sr4 0.500 0.747 0.124
Pb10 0.500 0.252 0.626
Tl2 0.000 0.000 0.500
# Density = 9.214 g cm⁻³
# Formation energy = -344.1 meV per atom
# Space group = Pbam (55)
# Raw total energy = -3.38 eV per atom



3.
# PBE-GGA TbPaTcAu, optimized geometry
data_TbPaTcAu
_chemical_formula_sum 'Tb1 Pa1 Tc1 Au1'
_cell_length_a 4.983
_cell_length_b 4.983
_cell_length_c 4.983
_cell_angle_alpha 60.00
_cell_angle_beta 60.00
_cell_angle_gamma 60.00
_symmetry_space_group_name_H-M 'P 1'
_symmetry_Int_Tables_number 1
_symmetry_space_group_name_Hall 'P 1'
loop_
_atom_site_label
_atom_site_fract_x
_atom_site_fract_y
_atom_site_fract_z
Pa1 0.250 0.250 0.250
Au1 0.000 0.000 0.000
Tc1 0.500 0.500 0.500
Tb1 0.750 0.750 0.750
# Density = 12.996 g cm⁻³
# Formation energy = -213.1 meV per atom
# Space group = F-43m (216)
# Raw total energy = -7.16 eV per atom



4.
# PBE-GGA Tb5Ga2Te, optimized geometry
data_Tb5Ga2Te
_chemical_formula_sum 'Tb10 Ga4 Te2'
_cell_length_a 8.189
_cell_length_b 8.189
_cell_length_c 8.606
_cell_angle_alpha 118.41
_cell_angle_beta 118.41
_cell_angle_gamma 90.00
_symmetry_space_group_name_H-M 'P 1'
_symmetry_Int_Tables_number 1
_symmetry_space_group_name_Hall 'P 1'
loop_
_atom_site_label
_atom_site_fract_x
_atom_site_fract_y
_atom_site_fract_z
Tb1 0.704 0.204 0.715
Ga1 0.352 0.852 0.000
Tb2 0.204 0.011 0.715
Te1 0.750 0.750 0.500
Tb3 0.489 0.296 0.285
Tb4 0.511 0.704 0.715
Tb5 0.011 0.511 0.715
Tb6 0.796 0.989 0.285
Tb7 0.296 0.796 0.285
Ga2 0.648 0.148 0.000
Ga3 0.148 0.352 0.000
Te2 0.250 0.250 0.500
Tb8 0.000 0.000 0.000
Tb9 0.989 0.489 0.285
Ga4 0.852 0.648 0.000
Tb10 0.500 0.500 0.000
# Formation energy (no corrections) = -0.66 eV/atom
# Density = 8.259 g cm⁻³
# Space group = I4/mcm (140)
# Raw total energy = -4.70 eV per atom



5.
# PBE-GGA KRb2U2Se5, optimized geometry
data_KRb2U2Se5
_chemical_formula_sum 'K2 Rb4 U4 Se10'
_cell_length_a 3.789
_cell_length_b 13.044
_cell_length_c 13.044
_cell_angle_alpha 90.00
_cell_angle_beta 90.00
_cell_angle_gamma 90.00
_symmetry_space_group_name_H-M 'P 1'
_symmetry_Int_Tables_number 1
_symmetry_space_group_name_Hall 'P 1'
loop_
_atom_site_label
_atom_site_fract_x
_atom_site_fract_y
_atom_site_fract_z
K1 0.000 0.000 0.000
Rb1 0.000 0.319 0.819
Se1 0.500 0.927 0.223
Se2 0.500 0.073 0.777
U1 0.000 0.880 0.380
Rb2 0.000 0.681 0.181
U2 0.000 0.120 0.620
Se3 0.500 0.427 0.277
Rb3 0.000 0.181 0.319
U3 0.000 0.380 0.120
Se4 0.500 0.500 0.000
Se5 0.500 0.573 0.723
Se6 0.500 0.723 0.427
K2 0.000 0.500 0.500
U4 0.000 0.620 0.880
Se7 0.500 0.777 0.927
Se8 0.500 0.277 0.573
Se9 0.500 0.000 0.500
Se10 0.500 0.223 0.073
Rb4 0.000 0.819 0.681
# Formation energy (no corrections) = -1.13 eV/atom
# Density = 5.569 g cm⁻³
# Space group = P4/mbm (127)
# Raw total energy = -5.43 eV per atom



6.
# PBE-GGA Mn2AlB, optimized geometry
data_Mn2AlB
_chemical_formula_sum 'Mn2 Al1 B1'
_cell_length_a 3.892
_cell_length_b 3.892
_cell_length_c 3.892
_cell_angle_alpha 60.00
_cell_angle_beta 60.00
_cell_angle_gamma 60.00
_symmetry_space_group_name_H-M 'P 1'
_symmetry_Int_Tables_number 1
_symmetry_space_group_name_Hall 'P 1'
loop_
_atom_site_label
_atom_site_fract_x
_atom_site_fract_y
_atom_site_fract_z
Al1 0.500 0.500 0.500
Mn1 0.750 0.750 0.750
Mn2 0.250 0.250 0.250
B1 0.000 0.000 0.000
# Density = 5.884 g cm⁻³
# Formation energy = 159.9 meV per atom
# Space group = Fm-3m (225)
# Offset from the most stable computed form = 0.3253 eV/atom
# Raw total energy = -7.03 eV per atom



7.
# PBE-GGA TaTiOsW, optimized geometry
data_TaTiOsW
_chemical_formula_sum 'Ta1 Ti1 Os1 W1'
_cell_length_a 3.165
_cell_length_b 3.165
_cell_length_c 6.388
_cell_angle_alpha 90.00
_cell_angle_beta 90.00
_cell_angle_gamma 90.00
_symmetry_space_group_name_H-M 'P 1'
_symmetry_Int_Tables_number 1
_symmetry_space_group_name_Hall 'P 1'
loop_
_atom_site_label
_atom_site_fract_x
_atom_site_fract_y
_atom_site_fract_z
W1 0.000 0.000 0.352
Ti1 0.500 0.500 0.106
Os1 0.000 0.000 0.860
Ta1 0.500 0.500 0.610
# Density = 15.645 g cm⁻³
# Formation energy = -338.3 meV per atom
# Space group = P4mm (99)
# Raw total energy = -11.32 eV per atom



8.
# PBE-GGA Y2CdOsO8, optimized geometry
data_Y2CdOsO8
_chemical_formula_sum 'Y2 Cd1 Os1 O8'
_cell_length_a 4.936
_cell_length_b 4.936
_cell_length_c 7.076
_cell_angle_alpha 90.00
_cell_angle_beta 90.00
_cell_angle_gamma 92.30
_symmetry_space_group_name_H-M 'P 1'
_symmetry_Int_Tables_number 1
_symmetry_space_group_name_Hall 'P 1'
loop_
_atom_site_label
_atom_site_fract_x
_atom_site_fract_y
_atom_site_fract_z
O1 0.183 0.817 0.189
Cd1 0.000 0.000 0.500
Os1 0.000 0.000 0.000
O2 0.183 0.817 0.811
O3 0.697 0.697 0.500
O4 0.723 0.723 0.000
O5 0.303 0.303 0.500
O6 0.817 0.183 0.811
Y1 0.500 0.500 0.744
O7 0.277 0.277 0.000
O8 0.817 0.183 0.189
Y2 0.500 0.500 0.256
# Formation energy (no corrections) = -1.98 eV/atom
# Density = 5.865 g cm⁻³
# Space group = Cmmm (65)
# Raw total energy = -7.38 eV per atom



9.
# PBE-GGA La2MgBe, optimized geometry
data_La2MgBe
_chemical_formula_sum 'La2 Mg1 Be1'
_cell_length_a 4.840
_cell_length_b 4.840
_cell_length_c 7.508
_cell_angle_alpha 80.80
_cell_angle_beta 80.80
_cell_angle_gamma 42.48
_symmetry_space_group_name_H-M 'P 1'
_symmetry_Int_Tables_number 1
_symmetry_space_group_name_Hall 'P 1'
loop_
_atom_site_label
_atom_site_fract_x
_atom_site_fract_y
_atom_site_fract_z
La1 0.487 0.487 0.545
Be1 0.750 0.750 0.750
Mg1 0.250 0.250 0.250
La2 0.013 0.013 0.955
# Density = 4.415 g cm⁻³
# Formation energy = 317.6 meV per atom
# Space group = C2/m (12)
# Offset from the most stable computed form = 0.2764 eV/atom
# Raw total energy = -3.48 eV per atom



10.
# PBE-GGA InFe2Pb, optimized geometry
data_InFe2Pb
_chemical_formula_sum 'In1 Fe2 Pb1'
_cell_length_a 3.440
_cell_length_b 3.440
_cell_length_c 6.377
_cell_angle_alpha 90.00
_cell_angle_beta 90.00
_cell_angle_gamma 90.00
_symmetry_space_group_name_H-M 'P 1'
_symmetry_Int_Tables_number 1
_symmetry_space_group_name_Hall 'P 1'
loop_
_atom_site_label
_atom_site_fract_x
_atom_site_fract_y
_atom_site_fract_z
In1 0.500 0.500 0.250
Fe1 0.000 0.000 0.057
Fe2 0.000 0.000 0.443
Pb1 0.500 0.500 0.750
# Density = 9.545 g cm⁻³
# Formation energy = 512.4 meV per atom
# Space group = P4/mmm (123)
# Offset from the most stable computed form = 0.2316 eV/atom
# Raw total energy = -5.33 eV per atom



11.
# PBE-GGA La2Ni12Ge3Pt, optimized geometry
data_La2Ni12Ge3Pt
_chemical_formula_sum 'La2 Ni12 Ge3 Pt1'
_cell_length_a 6.417
_cell_length_b 6.417
_cell_length_c 6.417
_cell_angle_alpha 84.56
_cell_angle_beta 84.56
_cell_angle_gamma 84.56
_symmetry_space_group_name_H-M 'P 1'
_symmetry_Int_Tables_number 1
_symmetry_space_group_name_Hall 'P 1'
loop_
_atom_site_label
_atom_site_fract_x
_atom_site_fract_y
_atom_site_fract_z
Ni1 0.194 0.701 0.194
Ni2 0.806 0.299 0.806
Ni3 0.194 0.194 0.701
Ge1 0.000 0.000 0.500
La1 0.660 0.660 0.660
Ge2 0.500 0.000 0.000
Ni4 0.806 0.806 0.299
Pt1 0.000 0.000 0.000
Ni5 0.610 0.610 0.106
Ni6 0.894 0.390 0.390
Ge3 0.000 0.500 0.000
Ni7 0.106 0.610 0.610
Ni8 0.299 0.806 0.806
La2 0.340 0.340 0.340
Ni9 0.701 0.194 0.194
Ni10 0.610 0.106 0.610
Ni11 0.390 0.390 0.894
Ni12 0.390 0.894 0.390
# Density = 8.878 g cm⁻³
# Formation energy = -14.6 meV per atom
# Space group = R-3m (166)
# Raw total energy = -5.52 eV per atom



12.
# PBE-GGA Ba2PrP2Cl2, optimized geometry
data_Ba2PrP2Cl2
_chemical_formula_sum 'Ba2 Pr1 P2 Cl2'
_cell_length_a 5.530
_cell_length_b 5.530
_cell_length_c 8.899
_cell_angle_alpha 108.10
_cell_angle_beta 108.10
_cell_angle_gamma 90.00
_symmetry_space_group_name_H-M 'P 1'
_symmetry_Int_Tables_number 1
_symmetry_space_group_name_Hall 'P 1'
loop_
_atom_site_label
_atom_site_fract_x
_atom_site_fract_y
_atom_site_fract_z
P1 0.500 0.000 0.000
Cl1 0.184 0.184 0.368
P2 0.000 0.500 0.000
Ba1 0.377 0.377 0.755
Ba2 0.623 0.623 0.245
Cl2 0.816 0.816 0.632
Pr1 0.000 0.000 0.000
# Formation energy (no corrections) = -1.54 eV/atom
# Density = 3.725 g cm⁻³
# Space group = I4/mmm (139)
# Raw total energy = -4.84 eV per atom



- Which of these has the lowest raw total energy?
  TaTiOsW



What did the twelfth record say?
# PBE-GGA Ba2PrP2Cl2, optimized geometry
data_Ba2PrP2Cl2
_chemical_formula_sum 'Ba2 Pr1 P2 Cl2'
_cell_length_a 5.530
_cell_length_b 5.530
_cell_length_c 8.899
_cell_angle_alpha 108.10
_cell_angle_beta 108.10
_cell_angle_gamma 90.00
_symmetry_space_group_name_H-M 'P 1'
_symmetry_Int_Tables_number 1
_symmetry_space_group_name_Hall 'P 1'
loop_
_atom_site_label
_atom_site_fract_x
_atom_site_fract_y
_atom_site_fract_z
P1 0.500 0.000 0.000
Cl1 0.184 0.184 0.368
P2 0.000 0.500 0.000
Ba1 0.377 0.377 0.755
Ba2 0.623 0.623 0.245
Cl2 0.816 0.816 0.632
Pr1 0.000 0.000 0.000
# Formation energy (no corrections) = -1.54 eV/atom
# Density = 3.725 g cm⁻³
# Space group = I4/mmm (139)
# Raw total energy = -4.84 eV per atom



- The lowest density belongs to which entry?
  Ba2PrP2Cl2



- Look up the density of the third one.
  12.996 g cm⁻³